A plane-wave DFT calculation with PBE was carried out for a relaxed structure of AcAg4Ge4.

Cell: 6.4987 6.4987 9.1163 Å, 90.00 90.00 90.00°
Positions (direct):
Ac (0.0000, 0.0000, 0.0000)
Ac (0.5000, 0.5000, 0.5000)
Ag (0.2350, 0.5000, 0.9134)
Ag (0.7650, 0.5000, 0.9134)
Ag (0.5000, 0.7650, 0.0866)
Ag (0.5000, 0.2350, 0.0866)
Ag (0.0000, 0.7350, 0.4134)
Ag (0.0000, 0.2650, 0.4134)
Ag (0.2650, 0.0000, 0.5866)
Ag (0.7350, 0.0000, 0.5866)
Ge (0.5000, 0.7993, 0.7942)
Ge (0.5000, 0.2007, 0.7942)
Ge (0.7993, 0.5000, 0.2058)
Ge (0.2007, 0.5000, 0.2058)
Ge (0.2993, 0.0000, 0.2942)
Ge (0.7007, 0.0000, 0.2942)
Ge (0.0000, 0.2993, 0.7058)
Ge (0.0000, 0.7007, 0.7058)

Calculated values
* SG: No. 137
* E: -3.858 eV per atom
* E_form: -0.082 eV/atom
* DOS(E_F): 0.35 states/eV/atom